VASP calculation (PBE) on a relaxed Zn3OsCl crystal.

Cell: 4.9125 4.9125 4.9125 Å, 90.00 90.00 90.00°
Closest atoms and distances in Å follow each position.
Space group Pm-3m (No. 221)
Asymmetric unit:
Zn: 0.0000 0.0000 0.5000 x3  2 Os 2.46
Os: 0.0000 0.0000 0.0000 x1  6 Zn 2.46
Cl: 0.5000 0.5000 0.5000 x1  12 Zn 3.47

Values from the calculation:
crystal system	cubic
formation energy from raw total energies	0.643	eV per atom

VASP calculation (PBE) on a relaxed ThScFeTc crystal.

Cell: 6.7033 6.7033 6.7033 Å, 90.00 90.00 90.00°
Closest atoms and distances in Å follow each position.
Space group F-43m (No. 216)
Asymmetric unit:
Th: 0.0000 0.0000 0.0000 x4  4 Tc 2.90, 4 Fe 2.90
Sc: 0.0000 0.0000 0.5000 x4  4 Fe 2.90, 4 Tc 2.90
Fe: 0.2500 0.2500 0.7500 x4  4 Th 2.90, 4 Sc 2.90
Tc: 0.2500 0.2500 0.2500 x4  4 Th 2.90, 4 Sc 2.90

Values from the calculation:
DFT formation energy	-84	meV per atom
crystal system	cubic

VASP calculation (PBE) on a relaxed Pr8Tl2Ir3 crystal.

Cell: 5.0985 9.2332 9.2487 Å, 67.71 89.94 89.94°
Closest atoms and distances in Å follow each position.
Space group P-1 (No. 2)
Asymmetric unit:
Pr: 0.0011 0.1099 0.1103 x2  2 Ir 3.02-3.03, 2 Tl 3.26
Pr: 0.0006 0.6120 0.6126 x2  4 Ir 3.07-3.16, 2 Tl 3.39
Pr: 0.4993 0.1443 0.6310 x2  3 Ir 3.04-3.08, 2 Tl 3.31-3.36
Pr: 0.4993 0.6319 0.1445 x2  3 Ir 3.04-3.08, 2 Tl 3.31-3.36
Tl: 0.5005 0.2426 0.2416 x2  8 Pr 3.26-3.39
Ir: 0.0000 0.2432 0.7563 x2  8 Pr 3.02-3.16
Ir: 0.5000 0.5000 0.5000 x1  8 Pr 3.04-3.08

Values from the calculation:
DFT formation energy	-363	meV per atom
crystal system	triclinic

Calculated volume in Å³/cell, matching the order above: 119 301 403
E in Ry per atom, matching the order above: -0.2011 -0.6048 -0.4199
Size of the total moment in μB/cell, matching the order above: 1.19 4.43 0.00